Below is a relaxed CeTl2InF6 crystal, with properties calculated at the PBE level.

**Crystal system**: monoclinic
**Formation energy without anion corrections**: -2.6072 eV/atom
**Magnetic moment**: 1.90 Bohr magnetons per cell

Cell and atoms, written as POSCAR:
```
CeTl2InF6
1.0
6.639 0.000 0.091
0.000 6.998 0.000
0.187 0.000 9.567
Tl F In Ce
4 12 2 2
Cartesian
6.686 0.296 7.218 Tl
3.273 3.202 2.389 Tl
0.140 6.701 2.440 Tl
3.552 3.795 7.269 Tl
1.945 4.648 0.440 F
4.880 2.350 9.218 F
5.358 5.848 5.269 F
1.467 1.149 4.389 F
4.481 1.924 5.474 F
1.068 1.575 0.645 F
5.758 5.423 9.013 F
5.910 3.867 2.247 F
4.141 0.368 2.673 F
2.345 5.073 4.184 F
2.684 6.629 6.985 F
0.915 3.130 7.411 F
3.319 0.000 0.046 In
0.093 3.499 4.783 In
3.413 0.000 4.829 Ce
0.000 3.499 0.000 Ce
```